Entry 1:
! LiCaOs, relaxed, DFT PBE; values from VASP
! SG: F-43m, No. 216
&SYSTEM
  ibrav = 0, nat = 3, ntyp = 3
/
ATOMIC_SPECIES
Ca 40.08 Ca.upf
Li 6.94 Li.upf
Os 190.23 Os.upf
CELL_PARAMETERS angstrom
-1.7655 2.4322 -3.5530
-3.6527 -1.6519 -2.3633
-4.1597 2.0441 0.4187
ATOMIC_POSITIONS angstrom
Ca -7.1835 2.1183 -4.1232
Li 0.0000 0.0000 0.0000
Os -4.7890 1.4122 -2.7488



Entry 2:
! LiCaOs4, relaxed, DFT PBE; values from VASP
! SG: F-43m, No. 216
&SYSTEM
  ibrav = 0, nat = 6, ntyp = 3
/
ATOMIC_SPECIES
Li 6.94 Li.upf
Ca 40.08 Ca.upf
Os 190.23 Os.upf
CELL_PARAMETERS angstrom
0.0000 3.7184 3.7184
3.7184 0.0000 3.7184
3.7184 3.7184 0.0000
ATOMIC_POSITIONS angstrom
Li 0.0000 0.0000 0.0000
Ca 5.5775 5.5775 5.5775
Os 2.7859 4.6508 4.6508
Os 4.6508 4.6508 2.7859
Os 4.6508 2.7859 4.6508
Os 2.7859 2.7859 2.7859



no.,raw total energy (eV per atom),ΔH_f (0 K) (kcal/mol of atoms)
1,-3.665,31.89
2,-7.796,7.91